First-principles (PBE) data for SmBePt after structural relaxation, as listed in OQMD.

Values from the calculation:
- Final energy: -5.19 eV per atom
- Crystal system: cubic
- Symmetry: F-43m (216)

a = 4.550 Å, b = 4.550 Å, c = 4.550 Å
α = 60.00°, β = 60.00°, γ = 60.00°
Atoms (fractional coordinates):
Be  0.250  0.250  0.250
Pt  0.000  0.000  0.000
Sm  0.750  0.750  0.750

=====

First-principles (PBE) data for SmBe3Pt2 after structural relaxation, as listed in OQMD.

Values from the calculation:
- Final energy: -5.36 eV per atom
- Crystal system: hexagonal
- Symmetry: P6/mmm (191)

a = 5.234 Å, b = 5.234 Å, c = 3.728 Å
α = 90.00°, β = 90.00°, γ = 120.00°
Atoms (fractional coordinates):
Be  0.500  0.000  0.500
Be  0.000  0.500  0.500
Be  0.500  0.500  0.500
Pt  0.667  0.333  0.000
Pt  0.333  0.667  0.000
Sm  0.000  0.000  0.000

=====

First-principles (PBE) data for BeSnPt after structural relaxation, as listed in OQMD.

Values from the calculation:
- Final energy: -4.88 eV per atom
- Crystal system: cubic
- Symmetry: F-43m (216)

a = 4.265 Å, b = 4.265 Å, c = 4.265 Å
α = 60.00°, β = 60.00°, γ = 60.00°
Atoms (fractional coordinates):
Be  0.250  0.250  0.250
Pt  0.000  0.000  0.000
Sn  0.750  0.750  0.750

=====

First-principles (PBE) data for SrBeSnPt after structural relaxation, as listed in OQMD.

Values from the calculation:
- Final energy: -3.95 eV per atom
- Crystal system: cubic
- Symmetry: F-43m (216)

a = 4.884 Å, b = 4.884 Å, c = 4.884 Å
α = 60.00°, β = 60.00°, γ = 60.00°
Atoms (fractional coordinates):
Be  0.750  0.750  0.750
Pt  0.250  0.250  0.250
Sn  0.000  0.000  0.000
Sr  0.500  0.500  0.500

=====

First-principles (PBE) data for SrBeSnPt after structural relaxation, as listed in OQMD.

Values from the calculation:
- Final energy: -3.78 eV per atom
- Crystal system: cubic
- Symmetry: F-43m (216)

a = 4.923 Å, b = 4.923 Å, c = 4.923 Å
α = 60.00°, β = 60.00°, γ = 60.00°
Atoms (fractional coordinates):
Be  0.750  0.750  0.750
Pt  0.500  0.500  0.500
Sn  0.000  0.000  0.000
Sr  0.250  0.250  0.250

=====

First-principles (PBE) data for SrBe2Pt2 after structural relaxation, as listed in OQMD.

Values from the calculation:
- Final energy: -4.90 eV per atom
- Crystal system: tetragonal
- Symmetry: I4/mmm (139)

a = 5.832 Å, b = 5.832 Å, c = 5.832 Å
α = 138.88°, β = 138.88°, γ = 59.56°
Atoms (fractional coordinates):
Be  0.750  0.250  0.500
Be  0.250  0.750  0.500
Pt  0.358  0.358  0.000
Pt  0.642  0.642  0.000
Sr  0.000  0.000  0.000

=====

First-principles (PBE) data for Ta2Be2Pt after structural relaxation, as listed in OQMD.

Values from the calculation:
- Final energy: -7.98 eV per atom
- Crystal system: tetragonal
- Symmetry: P4/mbm (127)

a = 6.016 Å, b = 6.016 Å, c = 3.688 Å
α = 90.00°, β = 90.00°, γ = 90.00°
Atoms (fractional coordinates):
Be  0.627  0.127  0.000
Be  0.127  0.373  0.000
Be  0.873  0.627  0.000
Be  0.373  0.873  0.000
Pt  0.000  0.000  0.000
Pt  0.500  0.500  0.000
Ta  0.329  0.171  0.500
Ta  0.829  0.329  0.500
Ta  0.171  0.671  0.500
Ta  0.671  0.829  0.500

=====

First-principles (PBE) data for TaBe2Pt2 after structural relaxation, as listed in OQMD.

Values from the calculation:
- Final energy: -6.53 eV per atom
- Crystal system: tetragonal
- Symmetry: I4/mmm (139)

a = 5.354 Å, b = 5.354 Å, c = 5.354 Å
α = 137.44°, β = 137.44°, γ = 61.76°
Atoms (fractional coordinates):
Be  0.750  0.250  0.500
Be  0.250  0.750  0.500
Pt  0.364  0.364  0.000
Pt  0.636  0.636  0.000
Ta  0.000  0.000  0.000

=====

First-principles (PBE) data for TaBePt after structural relaxation, as listed in OQMD.

Values from the calculation:
- Final energy: -7.84 eV per atom
- Crystal system: orthorhombic
- Symmetry: Pnma (62)

a = 6.371 Å, b = 3.552 Å, c = 7.251 Å
α = 90.00°, β = 90.00°, γ = 90.00°
Atoms (fractional coordinates):
Be  0.772  0.750  0.126
Be  0.272  0.750  0.374
Be  0.728  0.250  0.626
Be  0.228  0.250  0.874
Pt  0.152  0.750  0.069
Pt  0.652  0.750  0.431
Pt  0.348  0.250  0.569
Pt  0.848  0.250  0.931
Ta  0.479  0.250  0.169
Ta  0.979  0.250  0.331
Ta  0.021  0.750  0.669
Ta  0.521  0.750  0.831

=====

First-principles (PBE) data for TaBePt after structural relaxation, as listed in OQMD.

Values from the calculation:
- Final energy: -6.93 eV per atom
- Crystal system: cubic
- Symmetry: F-43m (216)

a = 4.199 Å, b = 4.199 Å, c = 4.199 Å
α = 60.00°, β = 60.00°, γ = 60.00°
Atoms (fractional coordinates):
Be  0.250  0.250  0.250
Pt  0.750  0.750  0.750
Ta  0.000  0.000  0.000

=====

First-principles (PBE) data for TaBe2Pt2 after structural relaxation, as listed in OQMD.

Values from the calculation:
- Final energy: -6.88 eV per atom
- Crystal system: tetragonal
- Symmetry: P4/mbm (127)

a = 6.932 Å, b = 6.932 Å, c = 2.711 Å
α = 90.00°, β = 90.00°, γ = 90.00°
Atoms (fractional coordinates):
Be  0.618  0.118  0.000
Be  0.118  0.382  0.000
Be  0.882  0.618  0.000
Be  0.382  0.882  0.000
Pt  0.325  0.175  0.500
Pt  0.825  0.325  0.500
Pt  0.175  0.675  0.500
Pt  0.675  0.825  0.500
Ta  0.000  0.000  0.000
Ta  0.500  0.500  0.000

=====

First-principles (PBE) data for TaBePt after structural relaxation, as listed in OQMD.

Values from the calculation:
- Final energy: -7.39 eV per atom
- Crystal system: cubic
- Symmetry: F-43m (216)

a = 4.166 Å, b = 4.166 Å, c = 4.166 Å
α = 60.00°, β = 60.00°, γ = 60.00°
Atoms (fractional coordinates):
Be  0.250  0.250  0.250
Pt  0.000  0.000  0.000
Ta  0.750  0.750  0.750

=====

First-principles (PBE) data for BeTc2Pt after structural relaxation, as listed in OQMD.

Values from the calculation:
- Final energy: -7.58 eV per atom
- Crystal system: cubic
- Symmetry: F-43m (216)

a = 4.275 Å, b = 4.275 Å, c = 4.275 Å
α = 60.00°, β = 60.00°, γ = 60.00°
Last column: magnetic moment on the atom in μB.
Atoms (fractional coordinates):
Be  0.500  0.500  0.500  0.01
Pt  0.250  0.250  0.250  0.39
Tc  0.000  0.000  0.000  1.32
Tc  0.750  0.750  0.750  -0.04

=====

First-principles (PBE) data for BeTcPt after structural relaxation, as listed in OQMD.

Values from the calculation:
- Final energy: -6.58 eV per atom
- Crystal system: cubic
- Symmetry: F-43m (216)

a = 3.896 Å, b = 3.896 Å, c = 3.896 Å
α = 60.00°, β = 60.00°, γ = 60.00°
Atoms (fractional coordinates):
Be  0.000  0.000  0.000
Pt  0.250  0.250  0.250
Tc  0.750  0.750  0.750

=====

First-principles (PBE) data for Be2TcPt2 after structural relaxation, as listed in OQMD.

Values from the calculation:
- Final energy: -6.44 eV per atom
- Crystal system: tetragonal
- Symmetry: P4/mbm (127)

a = 6.743 Å, b = 6.743 Å, c = 2.701 Å
α = 90.00°, β = 90.00°, γ = 90.00°
Atoms (fractional coordinates):
Be  0.628  0.128  0.000
Be  0.128  0.372  0.000
Be  0.872  0.628  0.000
Be  0.372  0.872  0.000
Pt  0.332  0.168  0.500
Pt  0.832  0.332  0.500
Pt  0.168  0.668  0.500
Pt  0.668  0.832  0.500
Tc  0.000  0.000  0.000
Tc  0.500  0.500  0.000